{
  "formula": "Ni2MoF8",
  "functional": "GGA+U",
  "state": "relaxed",
  "lattice_angstrom": [[5.0439, -0.1856, -0.7100], [-0.7659, 5.4586, 0.1499], [-0.2016, 0.3251, 5.5008]],
  "species": ["F", "F", "F", "F", "F", "F", "F", "F", "Ni", "Ni", "Mo"],
  "frac_coords": [[0.2186, 0.8306, 0.8306], [0.2462, 0.4548, 0.4548], [0.7272, 0.0250, 0.6869], [0.7814, 0.1694, 0.1694], [0.2728, 0.9750, 0.3131], [0.7272, 0.6869, 0.0250], [0.2728, 0.3131, 0.9750], [0.7538, 0.5452, 0.5452], [0.5162, 0.3205, 0.3205], [0.4838, 0.6795, 0.6795], [0.0000, 0.0000, 0.0000]],
  "m_tot_mub_per_cell": 6.00,
  "final_energy_ev_per_atom": -4.661,
  "crystal_system": "monoclinic"
}

---

{
  "formula": "NiMo2F",
  "functional": "GGA+U",
  "state": "relaxed",
  "lattice_angstrom": [[-2.5477, -0.6053, -5.7744], [-0.4084, -6.2716, 0.8376], [-3.9518, -3.1359, -1.4087]],
  "species": ["Mo", "Mo", "Mo", "Mo", "F", "F", "Ni", "Ni"],
  "frac_coords": [[0.3750, 0.4025, 0.7500], [0.5975, 0.1250, 0.2500], [0.1525, 0.6250, 0.2500], [0.8750, 0.8475, 0.7500], [0.5000, 0.5000, 0.0000], [0.2500, 0.7500, 0.5000], [0.7500, 0.2500, 0.5000], [0.0000, 0.0000, 0.0000]],
  "m_tot_mub_per_cell": 0.00,
  "final_energy_ev_per_atom": -3.452,
  "crystal_system": "tetragonal"
}

---

{
  "formula": "Ni3MoF",
  "functional": "GGA+U",
  "state": "relaxed",
  "lattice_angstrom": [[4.1892, 0.0000, 0.0000], [0.0000, 4.1892, 0.0000], [0.0000, 0.0000, 4.1892]],
  "species": ["Mo", "Ni", "Ni", "Ni", "F"],
  "frac_coords": [[0.5000, 0.5000, 0.5000], [0.5000, 0.0000, 0.0000], [0.0000, 0.0000, 0.5000], [0.0000, 0.5000, 0.0000], [0.0000, 0.0000, 0.0000]],
  "m_tot_mub_per_cell": 7.32,
  "final_energy_ev_per_atom": -2.777,
  "crystal_system": "cubic"
}

---

{
  "formula": "Ni3MoF",
  "functional": "GGA+U",
  "state": "relaxed",
  "lattice_angstrom": [[4.5791, 0.0000, 0.0000], [0.0000, 4.5791, 0.0000], [0.0000, 0.0000, 4.5791]],
  "species": ["Ni", "Ni", "Ni", "F", "Mo"],
  "frac_coords": [[0.0000, 0.0000, 0.5000], [0.5000, 0.0000, 0.0000], [0.0000, 0.5000, 0.0000], [0.5000, 0.5000, 0.5000], [0.0000, 0.0000, 0.0000]],
  "m_tot_mub_per_cell": 2.78,
  "final_energy_ev_per_atom": -1.134,
  "crystal_system": "cubic"
}

---

{
  "formula": "NiMoF3",
  "functional": "GGA+U",
  "state": "relaxed",
  "lattice_angstrom": [[4.0247, 0.0000, 0.0000], [0.0000, 4.0247, 0.0000], [0.0000, 0.0000, 4.0247]],
  "species": ["Mo", "F", "F", "F", "Ni"],
  "frac_coords": [[0.5000, 0.5000, 0.5000], [0.0000, 0.0000, 0.5000], [0.5000, 0.0000, 0.0000], [0.0000, 0.5000, 0.0000], [0.0000, 0.0000, 0.0000]],
  "m_tot_mub_per_cell": 4.81,
  "final_energy_ev_per_atom": -3.925,
  "crystal_system": "cubic"
}

---

{
  "formula": "NiMoOF2",
  "functional": "GGA+U",
  "state": "relaxed",
  "lattice_angstrom": [[-2.0151, 2.7894, -2.3917], [-0.4492, -2.8944, -2.9971], [-3.6042, -1.1710, 1.6710]],
  "species": ["F", "F", "Mo", "O", "Ni"],
  "frac_coords": [[0.5000, 0.0000, 0.0000], [0.0000, 0.5000, 0.0000], [0.0000, 0.0000, 0.0000], [0.0000, 0.0000, 0.5000], [0.5000, 0.5000, 0.5000]],
  "m_tot_mub_per_cell": 1.92,
  "final_energy_ev_per_atom": -4.885,
  "crystal_system": "tetragonal"
}